1:
ZrFeSe2N: relaxed, PBE.

```
5
Lattice="4.885 0.000 0.000 0.000 4.885 0.000 0.000 0.000 3.451" Properties=species:S:1:pos:R:3 pbc="T T T"
Zr 0.000 0.000 0.000
Fe 2.442 2.442 1.726
Se 0.000 2.442 1.726
Se 2.442 0.000 1.726
N 2.442 2.442 0.000
```

Computed properties:
V = 16.47 Å³ per atom
Space-group type = P4/mmm
M_tot = 0.35 Bohr magnetons per cell

***

2:
ZrFeSe2N: relaxed, PBE.

```
5
Lattice="5.307 0.000 0.000 0.000 5.307 0.000 0.000 0.000 4.048" Properties=species:S:1:pos:R:3 pbc="T T T"
Zr 0.000 0.000 0.000
Fe 2.654 2.654 2.024
Se 0.000 2.654 0.000
Se 2.654 0.000 0.000
N 0.000 0.000 2.024
```

Computed properties:
V = 22.81 Å³ per atom
Space-group type = P4/mmm
M_tot = 4.74 Bohr magnetons per cell

***

Which of them is most stable, and which least? Most stable: 1; least stable: 2.

***

1:
FeSiN: relaxed, PBE.

```
6
Lattice="4.632 -1.456 0.000 4.632 1.456 0.000 -3.517 0.000 4.596" Properties=species:S:1:pos:R:3 pbc="T T T"
Fe 0.000 0.000 0.000
Fe 3.042 0.000 3.225
Si 2.518 0.000 0.245
Si 5.351 0.000 2.404
N 1.526 0.000 1.779
N 4.008 0.000 1.212
```

Computed properties:
V = 10.34 Å³ per atom
Space-group type = Cm
M_tot = 2.40 Bohr magnetons per cell

***

2:
FeSiN: relaxed, PBE.

```
6
Lattice="2.794 0.000 0.000 -1.397 2.420 0.000 0.000 0.000 8.596" Properties=species:S:1:pos:R:3 pbc="T T T"
Fe 0.000 0.000 0.000
Fe 0.000 0.000 2.405
Si 0.000 1.613 7.019
Si 1.397 0.807 4.250
N 0.000 1.613 5.242
N 1.397 0.807 1.346
```

Computed properties:
V = 9.69 Å³ per atom
Space-group type = P3m1
M_tot = 1.12 Bohr magnetons per cell

***

3:
FeSiN: relaxed, PBE.

```
6
Lattice="-1.404 1.433 8.142 1.404 -1.433 8.142 1.404 1.433 -8.142" Properties=species:S:1:pos:R:3 pbc="T T T"
Fe 0.000 0.000 0.000
Fe 0.000 0.000 5.892
Si 1.404 0.000 4.065
Si 0.000 0.000 9.449
N 0.000 0.000 11.178
N 0.000 1.433 6.911
```

Computed properties:
V = 10.92 Å³ per atom
Space-group type = Imm2
M_tot = 0.00 Bohr magnetons per cell

***

4:
FeSiN: relaxed, PBE.

```
6
Lattice="2.759 0.000 0.000 0.000 5.119 0.000 0.000 0.000 4.569" Properties=species:S:1:pos:R:3 pbc="T T T"
Fe 0.000 0.262 0.000
Fe 1.380 4.856 2.285
Si 0.000 1.832 2.499
Si 1.380 3.286 0.214
N 0.000 2.288 4.230
N 1.380 2.830 1.945
```

Computed properties:
V = 10.75 Å³ per atom
Space-group type = Pmn2_1
M_tot = 5.29 Bohr magnetons per cell

***

Which of them is most stable, and which least? Most stable: 4; least stable: 1.

***

1:
FeSiN: relaxed, PBE.

```
6
Lattice="4.206 -1.376 0.000 4.206 1.376 0.000 -2.408 0.000 5.720" Properties=species:S:1:pos:R:3 pbc="T T T"
Fe 0.000 0.000 0.000
Fe 3.525 0.000 4.412
Si 2.453 0.000 0.511
Si 5.142 0.000 2.840
N 1.155 0.000 1.744
N 6.573 0.000 3.889
```

Computed properties:
V = 11.03 Å³ per atom
Space-group type = Cm
M_tot = 1.28 Bohr magnetons per cell

***

2:
FeSiN: relaxed, PBE.

```
3
Lattice="2.671 0.000 0.000 0.000 1.414 4.414 0.000 -1.414 4.414" Properties=species:S:1:pos:R:3 pbc="T T T"
Fe 0.000 0.000 0.000
Si 1.335 0.000 6.907
N 1.335 0.000 1.411
```

Computed properties:
V = 11.11 Å³ per atom
Space-group type = Amm2
M_tot = 1.79 Bohr magnetons per cell

***

3:
FeSiN: relaxed, PBE.

```
6
Lattice="4.809 -1.346 0.000 4.809 1.346 0.000 -2.246 0.000 4.782" Properties=species:S:1:pos:R:3 pbc="T T T"
Fe 0.000 0.000 0.000
Fe 6.806 0.000 0.287
Si 1.298 0.000 3.264
Si 3.977 0.000 1.545
N 2.212 0.000 1.693
N 4.899 0.000 3.079
```

Computed properties:
V = 10.32 Å³ per atom
Space-group type = Cm
M_tot = 0.00 Bohr magnetons per cell

***

Which of them is most stable, and which least? Most stable: 1; least stable: 3.

***

1:
Fe2SiN: relaxed, PBE.

```
4
Lattice="0.000 2.693 2.693 2.693 0.000 2.693 2.693 2.693 0.000" Properties=species:S:1:pos:R:3 pbc="T T T"
Fe 1.347 1.347 1.347
Fe 4.040 4.040 4.040
Si 0.000 0.000 0.000
N 2.693 2.693 2.693
```

Computed properties:
V = 9.77 Å³ per atom
Space-group type = Fm-3m
M_tot = 0.00 Bohr magnetons per cell

***

2:
Fe2SiN: relaxed, PBE.

```
8
Lattice="-2.411 2.411 4.239 2.411 -2.411 4.239 2.411 2.411 -4.239" Properties=species:S:1:pos:R:3 pbc="T T T"
Fe 3.617 0.792 -1.060
Fe 0.792 1.206 1.060
Fe -1.206 1.619 3.179
Fe 1.619 1.206 5.299
Si 2.411 0.000 2.120
Si 0.000 0.000 4.239
N 0.000 0.000 0.000
N 0.000 2.411 2.120
```

Computed properties:
V = 12.32 Å³ per atom
Space-group type = I-42d
M_tot = 0.00 Bohr magnetons per cell

***

Which of them is most stable, and which least? Most stable: 2; least stable: 1.